Ta2InFe: relaxed, PBE.

Structure (POSCAR):
```
Ta2InFe
1.0
2.908 0.000 0.000
0.000 2.908 0.000
0.000 0.000 8.007
Ta In Fe
2 1 1
Direct
0.000 0.000 0.206
0.000 0.000 0.794
0.500 0.500 0.500
0.500 0.500 0.000
```

Results
Final energy = -8.686 eV/atom
Theoretical density = 13.06 g cm⁻³
Total magnetization = 0.000 μB per atom
ΔH_f (0 K) = 40 meV/atom

Ta2InFe: relaxed, PBE.

Structure (POSCAR):
```
Ta2InFe
1.0
2.955 0.000 0.000
0.000 3.938 0.000
-0.667 0.000 5.874
Ta In Fe
2 1 1
Direct
0.065 0.000 0.282
0.935 0.000 0.718
0.500 0.500 0.000
0.500 0.500 0.500
```

Results
Final energy = -8.548 eV/atom
Theoretical density = 12.94 g cm⁻³
Total magnetization = 0.205 μB per atom
ΔH_f (0 K) = 178 meV/atom

Ta2InFe: relaxed, PBE.

Structure (POSCAR):
```
Ta2InFe
1.0
3.964 0.000 0.000
0.000 3.964 0.000
0.000 0.000 4.384
Ta In Fe
2 1 1
Direct
0.000 0.500 0.000
0.500 0.000 0.000
0.000 0.000 0.500
0.500 0.500 0.500
```

Results
Final energy = -8.543 eV/atom
Theoretical density = 12.83 g cm⁻³
Total magnetization = 0.497 μB per atom
ΔH_f (0 K) = 184 meV/atom

Ta2InFe: relaxed, PBE.

Structure (POSCAR):
```
Ta2InFe
1.0
-2.040 2.040 4.138
2.040 -2.040 4.138
2.040 2.040 -4.138
Ta In Fe
2 1 1
Direct
0.250 0.750 0.500
0.750 0.250 0.500
0.000 0.000 0.000
0.500 0.500 0.000
```

Results
Final energy = -8.528 eV/atom
Theoretical density = 12.83 g cm⁻³
Total magnetization = 0.504 μB per atom
ΔH_f (0 K) = 198 meV/atom

Ta2InFe: relaxed, PBE.

Structure (POSCAR):
```
Ta2InFe
1.0
-1.684 2.241 4.517
1.684 -2.241 4.517
1.684 2.241 -4.517
Ta In Fe
2 1 1
Direct
0.232 0.232 0.000
0.768 0.768 0.000
0.500 0.000 0.500
0.000 0.500 0.500
```

Results
Final energy = -8.607 eV/atom
Theoretical density = 12.97 g cm⁻³
Total magnetization = 0.369 μB per atom
ΔH_f (0 K) = 120 meV/atom

Ta2InFe: relaxed, PBE.

Structure (POSCAR):
```
Ta2InFe
1.0
2.931 0.000 0.000
0.000 4.375 0.000
-1.176 0.000 5.490
Ta In Fe
2 1 1
Direct
0.000 0.000 0.000
0.316 0.500 0.744
0.684 0.000 0.471
0.735 0.500 0.182
```

Results
Final energy = -8.516 eV/atom
Theoretical density = 12.56 g cm⁻³
Total magnetization = 0.346 μB per atom
ΔH_f (0 K) = 210 meV/atom

Ta2InFe: relaxed, PBE.

Structure (POSCAR):
```
Ta2InFe
1.0
5.078 -1.574 0.000
5.078 1.574 0.000
-1.988 0.000 4.314
Ta In Fe
2 1 1
Direct
0.000 0.000 0.000
0.235 0.235 0.756
0.783 0.783 0.301
0.523 0.523 0.502
```

Results
Final energy = -8.565 eV/atom
Theoretical density = 12.82 g cm⁻³
Total magnetization = 0.378 μB per atom
ΔH_f (0 K) = 162 meV/atom

TaIn2FeTc: relaxed, PBE.

Structure (POSCAR):
```
TaIn2FeTc
1.0
4.759 0.000 0.000
0.000 4.759 0.000
0.000 0.000 4.381
Ta In Fe Tc
1 2 1 1
Direct
0.000 0.000 0.000
0.000 0.500 0.500
0.500 0.000 0.500
0.500 0.500 0.500
0.500 0.500 0.000
```

Results
Final energy = -6.082 eV/atom
Theoretical density = 9.45 g cm⁻³
Total magnetization = 0.185 μB per atom
ΔH_f (0 K) = 1150 meV/atom